Computed, not measured: crystalline PrSm3In4 at its relaxed geometry at the PBE-GGA level of DFT.

```
data_PrSm3In4
_symmetry_space_group_name_H-M 'I m m m'
_symmetry_Int_Tables_number 71
_symmetry_space_group_name_Hall '-I 2 2'
_cell_length_a 3.534
_cell_length_b 7.295
_cell_length_c 19.037
_cell_angle_alpha 90.00
_cell_angle_beta 90.00
_cell_angle_gamma 90.00
loop_
_atom_site_label
_atom_site_type_symbol
_atom_site_fract_x
_atom_site_fract_y
_atom_site_fract_z
Pr1 Pr 0.000 0.000 0.000
Sm1 Sm 0.000 0.000 0.500
Sm2 Sm 0.000 0.500 0.282
In1 In 0.000 0.293 0.128
```

Calculated values
ΔE to the lowest computed polymorph in eV per atom: 0.172
Energy relative to the elements in eV per formula unit: -2.57
M_tot in μB/cell: 0.2
Volume in A^3/atom: 30.673